[1]
# GGA-PBE Hf2ZrCd, optimized geometry
# **Crystal system**: monoclinic
# **E_tot**: -7.36 eV/atom
data_Hf2ZrCd
_cell_length_a 5.521
_cell_length_b 3.145
_cell_length_c 10.235
_cell_angle_alpha 90.00
_cell_angle_beta 91.60
_cell_angle_gamma 90.00
_space_group_name_H-M_alt 'P 1 m 1'
_space_group_IT_number 6
_space_group_name_Hall 'P -2y'
loop_
_atom_site_label
_atom_site_fract_x
_atom_site_fract_y
_atom_site_fract_z
Hf1 0.000 0.000 0.000
Hf2 0.147 0.500 0.254
Hf3 0.485 0.500 0.012
Hf4 0.644 0.000 0.770
Zr1 0.163 0.500 0.754
Zr2 0.490 0.500 0.508
Cd1 0.658 0.000 0.259
Cd2 0.981 0.000 0.504

[2]
# GGA-PBE Hg2IrOs, optimized geometry
# **Crystal system**: tetragonal
# **E_tot**: -4.21 eV/atom
# **Excess energy over the best structure of this formula in the dataset**: 0.540 eV per atom
data_Hg2IrOs
_cell_length_a 4.087
_cell_length_b 4.087
_cell_length_c 4.227
_cell_angle_alpha 90.00
_cell_angle_beta 90.00
_cell_angle_gamma 90.00
_space_group_name_H-M_alt 'P 4/m m m'
_space_group_IT_number 123
_space_group_name_Hall '-P 4 2'
loop_
_atom_site_label
_atom_site_fract_x
_atom_site_fract_y
_atom_site_fract_z
Hg1 0.000 0.500 0.000
Ir1 0.000 0.000 0.500
Os1 0.500 0.500 0.500

[3]
# GGA-PBE BaTbAs2Pd2, optimized geometry
# **Crystal system**: trigonal
# **E_tot**: -5.45 eV/atom
data_BaTbAs2Pd2
_cell_length_a 4.3618
_cell_length_b 4.3618
_cell_length_c 8.5671
_cell_angle_alpha 90.00
_cell_angle_beta 90.00
_cell_angle_gamma 120.00
_space_group_name_H-M_alt 'P -3 m 1'
_space_group_IT_number 164
_space_group_name_Hall '-P 3 2"'
loop_
_atom_site_label
_atom_site_fract_x
_atom_site_fract_y
_atom_site_fract_z
Ba1 0.0000 0.0000 0.0000
Tb1 0.0000 0.0000 0.5000
As1 0.3333 0.6667 0.2810
Pd1 0.3333 0.6667 0.7145

[4]
# GGA-PBE Li4CO4, optimized geometry
# **Crystal system**: orthorhombic
# **E_tot**: -5.80 eV/atom
# **Formation energy without anion corrections**: -1.716 eV per atom
data_Li4CO4
_cell_length_a 5.851
_cell_length_b 5.121
_cell_length_c 4.899
_cell_angle_alpha 90.00
_cell_angle_beta 90.00
_cell_angle_gamma 90.00
_space_group_name_H-M_alt 'P m n 21'
_space_group_IT_number 31
_space_group_name_Hall 'P 2ac -2'
loop_
_atom_site_label
_atom_site_fract_x
_atom_site_fract_y
_atom_site_fract_z
Li1 0.000 0.086 0.000
Li2 0.000 0.090 0.510
Li3 0.202 0.574 0.633
C1 0.000 0.692 0.203
O1 0.000 0.428 0.311
O2 0.000 0.689 0.921
O3 0.198 0.822 0.304

[5]
# GGA-PBE Tl4ReAs, optimized geometry
# **Crystal system**: cubic
# **E_tot**: -3.21 eV/atom
data_Tl4ReAs
_cell_length_a 8.762
_cell_length_b 8.762
_cell_length_c 8.762
_cell_angle_alpha 90.00
_cell_angle_beta 90.00
_cell_angle_gamma 90.00
_space_group_name_H-M_alt 'F -4 3 m'
_space_group_IT_number 216
_space_group_name_Hall 'F -4 2 3'
loop_
_atom_site_label
_atom_site_fract_x
_atom_site_fract_y
_atom_site_fract_z
Tl1 0.125 0.125 0.125
Re1 0.000 0.000 0.500
As1 0.250 0.250 0.750

[6]
# GGA-PBE Sm3ThP4, optimized geometry
# **Crystal system**: orthorhombic
# **E_tot**: -7.00 eV/atom
# **Excess energy over the best structure of this formula in the dataset**: 0.000 eV per atom
data_Sm3ThP4
_cell_length_a 8.231
_cell_length_b 11.635
_cell_length_c 4.122
_cell_angle_alpha 90.00
_cell_angle_beta 90.00
_cell_angle_gamma 90.00
_space_group_name_H-M_alt 'C m m m'
_space_group_IT_number 65
_space_group_name_Hall '-C 2 2'
loop_
_atom_site_label
_atom_site_fract_x
_atom_site_fract_y
_atom_site_fract_z
Sm1 0.000 0.000 0.000
Sm2 0.250 0.250 0.500
Th1 0.000 0.500 0.000
P1 0.000 0.251 0.000
P2 0.250 0.000 0.500

[7]
# GGA-PBE AcSiP2N6, optimized geometry
# **Crystal system**: monoclinic
# **E_tot**: -7.70 eV/atom
# **Formation energy without anion corrections**: -0.674 eV per atom
data_AcSiP2N6
_cell_length_a 9.232
_cell_length_b 10.672
_cell_length_c 5.474
_cell_angle_alpha 90.00
_cell_angle_beta 110.38
_cell_angle_gamma 90.00
_space_group_name_H-M_alt 'C 1 2/c 1'
_space_group_IT_number 15
_space_group_name_Hall '-C 2yc'
loop_
_atom_site_label
_atom_site_fract_x
_atom_site_fract_y
_atom_site_fract_z
Ac1 0.000 0.160 0.250
Si1 0.000 0.300 0.750
P1 0.249 0.420 0.153
N1 0.070 0.376 0.043
N2 0.145 0.202 0.730
N3 0.198 0.015 0.083

[8]
# GGA-PBE LiCd2Ni2, optimized geometry
# **Crystal system**: tetragonal
# **E_tot**: -2.97 eV/atom
# **Excess energy over the best structure of this formula in the dataset**: 0.098 eV per atom
data_LiCd2Ni2
_cell_length_a 3.461
_cell_length_b 3.461
_cell_length_c 14.026
_cell_angle_alpha 90.00
_cell_angle_beta 90.00
_cell_angle_gamma 90.00
_space_group_name_H-M_alt 'I 4/m m m'
_space_group_IT_number 139
_space_group_name_Hall '-I 4 2'
loop_
_atom_site_label
_atom_site_fract_x
_atom_site_fract_y
_atom_site_fract_z
Li1 0.000 0.000 0.000
Cd1 0.000 0.000 0.394
Ni1 0.000 0.500 0.250

[9]
# GGA-PBE Cs5AgF, optimized geometry
# **Crystal system**: monoclinic
# **E_tot**: -2.00 eV/atom
# **Formation energy without anion corrections**: -0.711 eV per atom
data_Cs5AgF
_cell_length_a 13.977
_cell_length_b 13.262
_cell_length_c 13.906
_cell_angle_alpha 90.00
_cell_angle_beta 118.88
_cell_angle_gamma 90.00
_space_group_name_H-M_alt 'C 1 2/c 1'
_space_group_IT_number 15
_space_group_name_Hall '-C 2yc'
loop_
_atom_site_label
_atom_site_fract_x
_atom_site_fract_y
_atom_site_fract_z
Cs1 0.000 0.157 0.250
Cs2 0.100 0.222 0.662
Cs3 0.161 0.473 0.922
Ag1 0.250 0.250 0.500
F1 0.000 0.353 0.750

[10]
# GGA-PBE VInPd2, optimized geometry
# **Crystal system**: tetragonal
# **E_tot**: -5.45 eV/atom
data_VInPd2
_cell_length_a 7.161
_cell_length_b 7.161
_cell_length_c 5.658
_cell_angle_alpha 90.00
_cell_angle_beta 90.00
_cell_angle_gamma 90.00
_space_group_name_H-M_alt 'I -4 2 d'
_space_group_IT_number 122
_space_group_name_Hall 'I -4 2bw'
loop_
_atom_site_label
_atom_site_fract_x
_atom_site_fract_y
_atom_site_fract_z
V1 0.000 0.000 0.000
In1 0.000 0.000 0.500
Pd1 0.227 0.250 0.125

[11]
# GGA-PBE PuBiAu6, optimized geometry
# **Crystal system**: cubic
# **E_tot**: -4.86 eV/atom
data_PuBiAu6
_cell_length_a 5.563
_cell_length_b 5.563
_cell_length_c 5.563
_cell_angle_alpha 90.00
_cell_angle_beta 90.00
_cell_angle_gamma 90.00
_space_group_name_H-M_alt 'P m -3'
_space_group_IT_number 200
_space_group_name_Hall '-P 2 2 3'
loop_
_atom_site_label
_atom_site_fract_x
_atom_site_fract_y
_atom_site_fract_z
Pu1 0.000 0.000 0.000
Bi1 0.500 0.500 0.500
Au1 0.000 0.249 0.500

[12]
# GGA-PBE PuTiAsH, optimized geometry
# **Crystal system**: tetragonal
# **E_tot**: -8.32 eV/atom
data_PuTiAsH
_cell_length_a 3.981
_cell_length_b 3.981
_cell_length_c 7.988
_cell_angle_alpha 90.00
_cell_angle_beta 90.00
_cell_angle_gamma 90.00
_space_group_name_H-M_alt 'P 4/n m m'
_space_group_IT_number 129
loop_
_space_group_symop_operation_xyz
'x,y,z'
'-x,-y,-z'
'-y+1/2,x,z'
'y+1/2,-x,-z'
'-x+1/2,-y+1/2,z'
'x+1/2,y+1/2,-z'
'y,-x+1/2,z'
'-y,x+1/2,-z'
'x+1/2,-y,-z'
'-x+1/2,y,z'
'-y,-x,-z'
'y,x,z'
'-x,y+1/2,-z'
'x,-y+1/2,z'
'y+1/2,x+1/2,-z'
'-y+1/2,-x+1/2,z'
loop_
_atom_site_label
_atom_site_fract_x
_atom_site_fract_y
_atom_site_fract_z
Pu1 0.250 0.250 0.139
Ti1 0.250 0.750 0.500
As1 0.250 0.250 0.718
H1 0.250 0.750 0.000